A geometry-optimized Er2LuIn3CuNi2 structure. Source: OQMD via LeMat-Bulk, functional GGA-PBE.

The calculation puts the raw total energy at -82.04 eV/cell.

The structure belongs to space group Amm2 (No. 38); the cell edges are 3.8034, 12.8264 and 7.4062 Å and the angles 90.00°, 90.00° and 90.00°. Symmetry generates all atoms from Er at (0.0000, 0.2064, 0.0000), Lu at (0.0000, 0.0000, 0.3811), In at (0.5000, 0.0000, 0.0527), In at (0.5000, 0.1292, 0.6641), Cu at (0.0000, 0.0000, 0.7934) and Ni at (0.5000, 0.1664, 0.2937).

=====

A geometry-optimized CuAg4 structure. Source: OQMD via LeMat-Bulk, functional GGA-PBE.

The energy above the most stable polymorph in this dataset is 0.036 eV per atom. For the formation energy, the calculation gives 0.06 eV per atom. The calculation puts the raw total energy at -58.86 eV/cell.

The structure belongs to space group C2/m (No. 12); the cell edges are 9.1001, 4.0559 and 9.0724 Å and the angles 90.00°, 90.17° and 90.00°. Symmetry generates all atoms from Cu at (0.0999, 0.0000, 0.1990), Ag at (0.0000, 0.0000, 0.5000), Ag at (0.0000, 0.5000, 0.0000), Ag at (0.0996, 0.5000, 0.7044), Ag at (0.1970, 0.5000, 0.3943) and Ag at (0.1999, 0.0000, 0.9018).

=====

A geometry-optimized BaErHf3 structure. Source: OQMD via LeMat-Bulk, functional GGA-PBE.

The calculation puts the raw total energy at -30.05 eV/cell.

The structure belongs to space group Pm-3m (No. 221); the cell edges are 5.4370, 5.4370 and 5.4370 Å and the angles 90.00°, 90.00° and 90.00°. Symmetry generates all atoms from Ba at (0.0000, 0.0000, 0.0000), Er at (0.5000, 0.5000, 0.5000) and Hf at (0.0000, 0.5000, 0.5000).

=====

A geometry-optimized Mg2Cu5Ni structure. Source: OQMD via LeMat-Bulk, functional GGA-PBE.

The calculation puts the raw total energy at -27.61 eV/cell.

The structure belongs to space group P4/mmm (No. 123); the cell edges are 4.1631, 4.1631 and 5.9157 Å and the angles 90.00°, 90.00° and 90.00°. Symmetry generates all atoms from Mg at (0.0000, 0.0000, 0.0000), Mg at (0.5000, 0.5000, 0.5000), Cu at (0.0000, 0.0000, 0.5000), Cu at (0.0000, 0.5000, 0.2468) and Ni at (0.5000, 0.5000, 0.0000).

=====

A geometry-optimized Li2MgZrSn2Ir2 structure. Source: OQMD via LeMat-Bulk, functional GGA-PBE.

The calculation puts the raw total energy at -44.31 eV/cell.

The structure belongs to space group P-4m2 (No. 115); the cell edges are 4.5627, 4.5627 and 6.5247 Å and the angles 90.00°, 90.00° and 90.00°. Symmetry generates all atoms from Li at (0.0000, 0.5000, 0.2299), Mg at (0.5000, 0.5000, 0.0000), Zr at (0.0000, 0.0000, 0.5000), Sn at (0.0000, 0.0000, 0.0000), Sn at (0.5000, 0.5000, 0.5000) and Ir at (0.0000, 0.5000, 0.7394).

=====

A geometry-optimized BaLuCuTeSe2 structure. Source: OQMD via LeMat-Bulk, functional GGA-PBE.

The calculation puts the raw total energy at -115.23 eV/cell.

The structure belongs to space group Cmcm (No. 63); the cell edges are 4.1696, 14.7398 and 10.9490 Å and the angles 90.00°, 90.00° and 90.00°. Symmetry generates all atoms from Ba at (0.0000, 0.2288, 0.2500), Lu at (0.0000, 0.0000, 0.0000), Cu at (0.0000, 0.4723, 0.7500), Te at (0.0000, 0.0823, 0.7500) and Se at (0.0000, 0.3765, 0.5641).

=====

| no. | ρ (Mg/m³) |
| --- | --- |
| 1 | 9.5 |
| 2 | 9.8 |
| 3 | 8.7 |
| 4 | 6.9 |
| 5 | 9.2 |
| 6 | 6.5 |